[1]
VASP calculation (PBE-GGA) on a relaxed structure of Tb2Er7Tm.

Summary:
Energy of formation = 23 meV/atom
Energy above the lowest structure with this stoichiometry = 0 meV/atom
E = -4.544 eV per atom

abc: 6.0664 6.0749 9.2795
angles: 102.59 108.98 99.69
With the nearest neighbours (Å) after each atom.
Atoms (fractional coordinates):
1 Tb 0.1003 0.0005 0.2004  10 Er 3.50-3.52, 1 Tm 3.50, 1 Tb 3.51
2 Tb 0.8997 0.9995 0.7996  10 Er 3.50-3.52, 1 Tm 3.50, 1 Tb 3.51
3 Er 0.1001 0.5002 0.6994  2 Tm 3.50-3.51, 8 Er 3.50-3.52, 2 Tb 3.51
4 Er 0.2997 0.0001 0.5993  7 Er 3.49-3.52, 2 Tm 3.50-3.51, 3 Tb 3.50-3.51
5 Er 0.3005 0.5009 0.1004  8 Er 3.50-3.52, 3 Tb 3.51-3.52, 1 Tm 3.51
6 Er 0.5000 0.0000 0.0000  8 Er 3.50-3.52, 4 Tb 3.50-3.51
7 Er 0.7003 0.9999 0.4007  7 Er 3.49-3.52, 2 Tm 3.50-3.51, 3 Tb 3.50-3.51
8 Er 0.6995 0.4991 0.8996  8 Er 3.50-3.52, 3 Tb 3.51-3.52, 1 Tm 3.51
9 Er 0.8999 0.4998 0.3006  2 Tm 3.50-3.51, 8 Er 3.50-3.52, 2 Tb 3.51
10 Tm 0.5000 0.5000 0.5000  10 Er 3.50-3.51, 2 Tb 3.50

***

[2]
VASP calculation (PBE-GGA) on a relaxed structure of Tb16Er7Tm6.

Summary:
Energy of formation = 235 meV/atom
E = -4.347 eV per atom

abc: 11.0348 11.0348 11.0348
angles: 60.00 60.00 60.00
With the nearest neighbours (Å) after each atom.
Atoms (fractional coordinates):
1 Tb 0.0493 0.6502 0.6502  3 Er 3.22, 3 Tm 3.53, 3 Tb 3.58
2 Tb 0.1233 0.1233 0.1233  4 Er 3.33-3.39, 3 Tm 3.57, 3 Tb 3.58
3 Tb 0.1233 0.1233 0.6302  4 Er 3.33-3.39, 3 Tm 3.57, 3 Tb 3.58
4 Tb 0.1233 0.6302 0.1233  4 Er 3.33-3.39, 3 Tm 3.57, 3 Tb 3.58
5 Tb 0.3498 0.3498 0.3498  3 Er 3.22, 3 Tm 3.53, 3 Tb 3.58
6 Tb 0.3498 0.3498 0.9507  3 Er 3.22, 3 Tm 3.53, 3 Tb 3.58
7 Tb 0.3498 0.9507 0.3498  3 Er 3.22, 3 Tm 3.53, 3 Tb 3.58
8 Tb 0.3698 0.8767 0.8767  4 Er 3.33-3.39, 3 Tm 3.57, 3 Tb 3.58
9 Tb 0.6302 0.1233 0.1233  4 Er 3.33-3.39, 3 Tm 3.57, 3 Tb 3.58
10 Tb 0.6502 0.0493 0.6502  3 Er 3.22, 3 Tm 3.53, 3 Tb 3.58
11 Tb 0.6502 0.6502 0.0493  3 Er 3.22, 3 Tm 3.53, 3 Tb 3.58
12 Tb 0.6502 0.6502 0.6502  3 Er 3.22, 3 Tm 3.53, 3 Tb 3.58
13 Tb 0.8767 0.3698 0.8767  4 Er 3.33-3.39, 3 Tm 3.57, 3 Tb 3.58
14 Tb 0.8767 0.8767 0.3698  4 Er 3.33-3.39, 3 Tm 3.57, 3 Tb 3.58
15 Tb 0.8767 0.8767 0.8767  4 Er 3.33-3.39, 3 Tm 3.57, 3 Tb 3.58
16 Tb 0.9507 0.3498 0.3498  3 Er 3.22, 3 Tm 3.53, 3 Tb 3.58
17 Er 0.0000 0.0000 0.0000  8 Tb 3.33
18 Er 0.0000 0.0000 0.5000  8 Tb 3.22-3.39
19 Er 0.0000 0.5000 0.0000  8 Tb 3.22-3.39
20 Er 0.0000 0.5000 0.5000  8 Tb 3.22-3.39
21 Er 0.5000 0.0000 0.0000  8 Tb 3.22-3.39
22 Er 0.5000 0.0000 0.5000  8 Tb 3.22-3.39
23 Er 0.5000 0.5000 0.0000  8 Tb 3.22-3.39
24 Tm 0.2714 0.2714 0.7286  8 Tb 3.53-3.57, 4 Er 3.92
25 Tm 0.2714 0.7286 0.2714  8 Tb 3.53-3.57, 4 Er 3.92
26 Tm 0.2714 0.7286 0.7286  8 Tb 3.53-3.57, 4 Er 3.92
27 Tm 0.7286 0.2714 0.2714  8 Tb 3.53-3.57, 4 Er 3.92
28 Tm 0.7286 0.2714 0.7286  8 Tb 3.53-3.57, 4 Er 3.92
29 Tm 0.7286 0.7286 0.2714  8 Tb 3.53-3.57, 4 Er 3.92

***

[3]
VASP calculation (PBE-GGA) on a relaxed structure of Tb12Er2Tm5.

Summary:
Energy of formation = 120 meV/atom
Energy above the lowest structure with this stoichiometry = 0 meV/atom
E = -4.461 eV per atom

abc: 6.1135 9.8766 10.8000
angles: 67.25 84.62 88.82
With the nearest neighbours (Å) after each atom.
Atoms (fractional coordinates):
1 Tb 0.0457 0.1506 0.3519  5 Tb 3.26-3.60, 4 Tm 3.36-3.64, 1 Er 3.51
2 Tb 0.0943 0.8257 0.9937  4 Tm 3.47-3.83, 7 Tb 3.52-3.83, 2 Er 3.60-3.63
3 Tb 0.1163 0.1645 0.6731  7 Tb 3.40-3.76, 4 Tm 3.47-3.67
4 Tb 0.3803 0.6766 0.4628  5 Tb 3.23-3.58, 3 Tm 3.37-3.47
5 Tb 0.4110 0.6894 0.7553  2 Er 3.08-3.30, 3 Tb 3.23-3.44, 1 Tm 3.25
6 Tb 0.4326 0.3159 0.8400  1 Er 3.22, 5 Tb 3.34-3.57, 3 Tm 3.44-3.58
7 Tb 0.5674 0.6841 0.1600  1 Er 3.22, 5 Tb 3.34-3.57, 3 Tm 3.44-3.58
8 Tb 0.5890 0.3106 0.2447  2 Er 3.08-3.30, 3 Tb 3.23-3.44, 1 Tm 3.25
9 Tb 0.6197 0.3234 0.5372  5 Tb 3.23-3.58, 3 Tm 3.37-3.47
10 Tb 0.8837 0.8355 0.3269  7 Tb 3.40-3.76, 4 Tm 3.47-3.67
11 Tb 0.9057 0.1743 0.0063  4 Tm 3.47-3.83, 7 Tb 3.52-3.83, 2 Er 3.60-3.63
12 Tb 0.9543 0.8494 0.6481  5 Tb 3.26-3.60, 4 Tm 3.36-3.64, 1 Er 3.51
13 Er 0.2284 0.4473 0.0549  3 Tb 3.08-3.30, 1 Er 3.14, 1 Tm 3.30
14 Er 0.7716 0.5527 0.9451  3 Tb 3.08-3.30, 1 Er 3.14, 1 Tm 3.30
15 Tm 0.0657 0.4977 0.3335  1 Er 3.30, 5 Tb 3.36-3.58, 1 Tm 3.63
16 Tm 0.3988 0.0178 0.1617  10 Tb 3.43-3.71, 2 Tm 3.70-3.74
17 Tm 0.5000 0.0000 0.5000  8 Tb 3.25-3.61
18 Tm 0.6012 0.9822 0.8383  10 Tb 3.43-3.71, 2 Tm 3.70-3.74
19 Tm 0.9343 0.5023 0.6665  1 Er 3.30, 5 Tb 3.36-3.58, 1 Tm 3.63

***

[4]
VASP calculation (PBE-GGA) on a relaxed structure of Tb6ErTm4.

Summary:
Energy of formation = 126 meV/atom
Energy above the lowest structure with this stoichiometry = 0 meV/atom
E = -4.440 eV per atom

abc: 5.5535 5.5535 25.4305
angles: 90.00 90.00 118.87
With the nearest neighbours (Å) after each atom.
Atoms (fractional coordinates):
1 Tb 0.0000 0.0000 0.0000  8 Tm 3.11-3.46
2 Tb 0.0000 0.0000 0.5000  8 Tm 3.11-3.46
3 Tb 0.0244 0.9756 0.7500  3 Er 3.20-3.24, 2 Tm 3.25
4 Tb 0.3113 0.6887 0.1033  6 Tm 3.26-3.64
5 Tb 0.3113 0.6887 0.3967  6 Tm 3.26-3.64
6 Tb 0.3575 0.6425 0.6818  7 Tb 3.47-3.82, 4 Tm 3.51-3.59, 3 Er 3.62-3.68
7 Tb 0.3575 0.6425 0.8182  7 Tb 3.47-3.82, 4 Tm 3.51-3.59, 3 Er 3.62-3.68
8 Tb 0.6425 0.3575 0.1818  7 Tb 3.47-3.82, 4 Tm 3.51-3.59, 3 Er 3.62-3.68
9 Tb 0.6425 0.3575 0.3182  7 Tb 3.47-3.82, 4 Tm 3.51-3.59, 3 Er 3.62-3.68
10 Tb 0.6887 0.3113 0.6033  6 Tm 3.26-3.64
11 Tb 0.6887 0.3113 0.8967  6 Tm 3.26-3.64
12 Tb 0.9756 0.0244 0.2500  3 Er 3.20-3.24, 2 Tm 3.25
13 Er 0.3104 0.6896 0.2500  3 Tb 3.20-3.24
14 Er 0.6896 0.3104 0.7500  3 Tb 3.20-3.24
15 Tm 0.0265 0.9735 0.6221  5 Tb 3.11-3.27
16 Tm 0.0265 0.9735 0.8779  5 Tb 3.11-3.27
17 Tm 0.3429 0.6571 0.5431  8 Tb 3.38-3.74, 2 Tm 3.63-3.72
18 Tm 0.3429 0.6571 0.9569  8 Tb 3.38-3.74, 2 Tm 3.63-3.72
19 Tm 0.6571 0.3429 0.0431  8 Tb 3.38-3.74, 2 Tm 3.63-3.72
20 Tm 0.6571 0.3429 0.4569  8 Tb 3.38-3.74, 2 Tm 3.63-3.72
21 Tm 0.9735 0.0265 0.1221  5 Tb 3.11-3.27
22 Tm 0.9735 0.0265 0.3779  5 Tb 3.11-3.27

***

[5]
VASP calculation (PBE-GGA) on a relaxed structure of Tb7ErTm3.

Summary:
Energy of formation = 139 meV/atom
Energy above the lowest structure with this stoichiometry = 0 meV/atom
E = -4.442 eV per atom

abc: 6.9391 5.4953 9.8294
angles: 90.00 110.56 90.00
With the nearest neighbours (Å) after each atom.
Atoms (fractional coordinates):
1 Tb 0.0000 0.0000 0.0000  4 Tm 3.36
2 Tb 0.1456 0.5000 0.2916  3 Tb 3.22-3.53, 2 Tm 3.31
3 Tb 0.3215 0.5000 0.6412  5 Tb 3.22-3.53, 2 Tm 3.50, 2 Er 3.50
4 Tb 0.4160 0.0000 0.8304  3 Tb 3.12-3.25, 1 Tm 3.49
5 Tb 0.5840 0.0000 0.1696  3 Tb 3.12-3.25, 1 Tm 3.49
6 Tb 0.6785 0.5000 0.3588  5 Tb 3.22-3.53, 2 Tm 3.50, 2 Er 3.50
7 Tb 0.8544 0.5000 0.7084  3 Tb 3.22-3.53, 2 Tm 3.31
8 Er 0.0000 0.0000 0.5000  2 Tm 3.47, 10 Tb 3.50-3.77
9 Tm 0.2793 0.5000 0.9999  1 Tm 3.06, 4 Tb 3.31-3.36
10 Tm 0.5000 0.0000 0.5000  2 Er 3.47, 10 Tb 3.49-3.78
11 Tm 0.7207 0.5000 0.0001  1 Tm 3.06, 4 Tb 3.31-3.36

***

[6]
VASP calculation (PBE-GGA) on a relaxed structure of Tb6ErTm.

Summary:
Energy of formation = 204 meV/atom
Energy above the lowest structure with this stoichiometry = 184 meV/atom
E = -4.398 eV per atom

abc: 6.5093 6.7147 6.8840
angles: 119.08 102.57 90.11
With the nearest neighbours (Å) after each atom.
Atoms (fractional coordinates):
1 Tb 0.2298 0.4045 0.4769  5 Tb 3.26-3.64, 1 Er 3.39
2 Tb 0.2497 0.9478 0.9999  5 Tb 3.25-3.64, 1 Tm 3.42, 1 Er 3.42
3 Tb 0.2693 0.9263 0.5217  6 Tb 3.25-3.64, 1 Tm 3.38
4 Tb 0.7307 0.0737 0.4783  6 Tb 3.25-3.64, 1 Tm 3.38
5 Tb 0.7503 0.0522 0.0001  5 Tb 3.25-3.64, 1 Tm 3.42, 1 Er 3.42
6 Tb 0.7702 0.5955 0.5231  5 Tb 3.26-3.64, 1 Er 3.39
7 Er 0.5000 0.5000 0.0000  2 Tm 3.25, 4 Tb 3.39-3.42
8 Tm 0.0000 0.5000 0.0000  2 Er 3.25, 4 Tb 3.38-3.42

***

| no. | N(E_F) (states/eV/cell) |
| --- | --- |
| 1 | 14.170 |
| 2 | 45.701 |
| 3 | 28.656 |
| 4 | 37.214 |
| 5 | 16.682 |
| 6 | 13.797 |